The following is a DFT calculation (GGA-PBEsol) of a relaxed MnBe4Pt crystal.

Lattice parameters (Å, degrees): 6.107 6.107 6.107 90.00 90.00 90.00
Space group F-43m (No. 216)
One atom of each set of equivalent atoms:
Mn1 0.000 0.000 0.000 x4
Be1 0.126 0.126 0.626 x16
Pt1 0.250 0.250 0.250 x4

Computed properties:
Crystal system   cubic

The following is a DFT calculation (GGA-PBEsol) of a relaxed Fe2Rh crystal.

Lattice parameters (Å, degrees): 2.895 2.895 8.820 90.00 90.00 90.00
Space group P4/mmm (No. 123)
One atom of each set of equivalent atoms:
Fe1 0.000 0.000 0.000 x1
Fe2 0.000 0.000 0.347 x2
Fe3 0.500 0.500 0.500 x1
Rh1 0.500 0.500 0.173 x2

Computed properties:
Crystal system   tetragonal

Number 1: total DFT energy (no corrections) -5.823 eV per atom, volume 9.49 A^3/atom. Number 2: total DFT energy (no corrections) -8.655 eV per atom, volume 12.32 A^3/atom.